! PmDy2Y, optimized geometry, DFT PBE; values from VASP
&SYSTEM
  ibrav = 0, nat = 4, ntyp = 3
/
ATOMIC_SPECIES
Y 88.91 Y.upf
Pm 145.00 Pm.upf
Dy 162.50 Dy.upf
ATOMIC_POSITIONS crystal
Y 0.500 0.000 0.000
Pm 0.500 0.500 0.500
Dy 0.000 0.000 0.500
Dy 0.000 0.500 0.000
CELL_PARAMETERS angstrom
5.061 0.000 0.000
0.000 5.056 0.000
0.000 0.000 5.056
! ΔH_f (0 K)	0.1	eV per formula unit

! PmDy2Y4, optimized geometry, DFT PBE; values from VASP
&SYSTEM
  ibrav = 0, nat = 14, ntyp = 3
/
ATOMIC_SPECIES
Pm 145.00 Pm.upf
Dy 162.50 Dy.upf
Y 88.91 Y.upf
ATOMIC_POSITIONS crystal
Pm 0.174 0.750 0.135
Pm 0.826 0.250 0.865
Dy 0.609 0.750 0.011
Dy 0.391 0.250 0.989
Dy 0.284 0.250 0.448
Dy 0.716 0.750 0.552
Y 0.632 0.493 0.290
Y 0.977 0.750 0.837
Y 0.023 0.250 0.163
Y 0.632 0.007 0.290
Y 0.853 0.250 0.581
Y 0.368 0.993 0.710
Y 0.368 0.507 0.710
Y 0.147 0.750 0.419
CELL_PARAMETERS angstrom
-2.611 -3.824 -3.895
3.256 -5.075 2.800
-7.174 0.529 9.298
! ΔH_f (0 K)	0.9	eV per formula unit

! Pm6Dy8Y, optimized geometry, DFT PBE; values from VASP
&SYSTEM
  ibrav = 0, nat = 15, ntyp = 3
/
ATOMIC_SPECIES
Pm 145.00 Pm.upf
Dy 162.50 Dy.upf
Y 88.91 Y.upf
ATOMIC_POSITIONS crystal
Pm 0.462 0.896 0.871
Pm 0.104 0.229 0.129
Pm 0.229 0.538 0.129
Pm 0.771 0.462 0.871
Pm 0.896 0.771 0.871
Pm 0.538 0.104 0.129
Dy 0.253 0.281 0.578
Dy 0.719 0.112 0.422
Dy 0.112 0.747 0.422
Dy 0.577 0.577 0.270
Dy 0.423 0.423 0.730
Dy 0.888 0.253 0.578
Dy 0.281 0.888 0.578
Dy 0.747 0.719 0.422
Y 0.000 0.000 0.000
CELL_PARAMETERS angstrom
9.117 0.000 0.000
4.558 7.895 0.000
4.558 2.632 6.942
! ΔH_f (0 K)	1.8	eV per formula unit

! PmDy5Y4, optimized geometry, DFT PBE; values from VASP
&SYSTEM
  ibrav = 0, nat = 10, ntyp = 3
/
ATOMIC_SPECIES
Pm 145.00 Pm.upf
Dy 162.50 Dy.upf
Y 88.91 Y.upf
ATOMIC_POSITIONS crystal
Pm 0.222 0.000 0.000
Dy 0.804 0.375 0.918
Dy 0.178 0.918 0.625
Dy 0.722 0.082 0.375
Dy 0.096 0.625 0.082
Dy 0.677 0.000 0.000
Y 0.408 0.388 0.702
Y 0.796 0.702 0.612
Y 0.110 0.298 0.388
Y 0.497 0.612 0.298
CELL_PARAMETERS angstrom
-1.789 -0.954 5.998
5.966 0.071 5.133
-1.736 6.625 3.878
! ΔH_f (0 K)	3.0	eV per formula unit

Repeat the second record exactly.
! PmDy2Y4, optimized geometry, DFT PBE; values from VASP
&SYSTEM
  ibrav = 0, nat = 14, ntyp = 3
/
ATOMIC_SPECIES
Pm 145.00 Pm.upf
Dy 162.50 Dy.upf
Y 88.91 Y.upf
ATOMIC_POSITIONS crystal
Pm 0.174 0.750 0.135
Pm 0.826 0.250 0.865
Dy 0.609 0.750 0.011
Dy 0.391 0.250 0.989
Dy 0.284 0.250 0.448
Dy 0.716 0.750 0.552
Y 0.632 0.493 0.290
Y 0.977 0.750 0.837
Y 0.023 0.250 0.163
Y 0.632 0.007 0.290
Y 0.853 0.250 0.581
Y 0.368 0.993 0.710
Y 0.368 0.507 0.710
Y 0.147 0.750 0.419
CELL_PARAMETERS angstrom
-2.611 -3.824 -3.895
3.256 -5.075 2.800
-7.174 0.529 9.298
! ΔH_f (0 K)	0.9	eV per formula unit